# 1
Pu2Mn3Ge2 | PBE-GGA | relaxed

abc: 6.9100 6.9100 6.9100
angles: 109.47 109.47 109.47
Element x y z (fractional)
1 Pu 0.5000 0.4946 0.5000
2 Pu 0.0000 0.0000 0.4946
3 Pu 0.9946 0.5000 0.0000
4 Pu 0.5054 0.0054 0.0054
5 Ge 0.0958 0.5958 0.5958
6 Ge 0.4042 0.5000 0.0000
7 Ge 0.0000 0.0000 0.9042
8 Ge 0.5000 0.9042 0.5000
9 Mn 0.7270 0.2500 0.4770
10 Mn 0.5230 0.2730 0.7500
11 Mn 0.2500 0.0230 0.2730
12 Mn 0.9770 0.2270 0.2500
13 Mn 0.7500 0.4770 0.2270
14 Mn 0.7730 0.7500 0.0230

Computed properties:
- E (eV for the cell shown) = -131.14
- N(E_F) (states/eV/f.u.) = 8.98
- space-group type = I2_13

=====

# 2
GaMoCl2 | PBE-GGA | relaxed

abc: 4.6520 4.6520 4.6520
angles: 60.00 60.00 60.00
Element x y z (fractional)
1 Mo 0.5000 0.5000 0.5000
2 Ga 0.0000 0.0000 0.0000
3 Cl 0.2500 0.2500 0.2500
4 Cl 0.7500 0.7500 0.7500

Computed properties:
- E (eV for the cell shown) = -15.68
- energy relative to the lowest polymorph listed for this composition (meV per atom) = 647
- N(E_F) (states/eV/f.u.) = 3.73
- space-group type = Fm-3m

=====

# 3
Sr2CdTe | PBE-GGA | relaxed

abc: 9.0771 5.7259 4.1272
angles: 89.85 63.17 129.05
Element x y z (fractional)
1 Sr 0.0000 0.0000 0.0000
2 Sr 0.5000 0.0000 0.5000
3 Cd 0.5000 0.5000 0.0000
4 Te 0.0000 0.5000 0.5000

Computed properties:
- E (eV for the cell shown) = -10.73
- energy relative to the lowest polymorph listed for this composition (meV per atom) = 66
- N(E_F) (states/eV/f.u.) = 2.12
- space-group type = C2/m

=====

# 4
PrDy7Y2 | PBE-GGA | relaxed

abc: 6.1711 10.6886 11.2655
angles: 137.57 56.80 140.27
Element x y z (fractional)
1 Pr 0.0000 0.0000 0.0000
2 Dy 0.5000 0.5000 0.0000
3 Dy 0.1993 0.7994 0.2002
4 Dy 0.8007 0.2006 0.7998
5 Dy 0.1018 0.9010 0.5998
6 Dy 0.8982 0.0990 0.4002
7 Dy 0.7003 0.3006 0.2003
8 Dy 0.2997 0.6994 0.7997
9 Y 0.5966 0.3977 0.5990
10 Y 0.4034 0.6023 0.4010

Computed properties:
- E (eV for the cell shown) = -49.75
- energy relative to the lowest polymorph listed for this composition (meV per atom) = 0
- N(E_F) (states/eV/f.u.) = 12.56
- space-group type = P-1

=====

# 5
LaRh3Se | PBE-GGA | relaxed

abc: 4.9085 4.9085 4.9085
angles: 90.00 90.00 90.00
Element x y z (fractional)
1 La 0.0000 0.0000 0.0000
2 Se 0.5000 0.5000 0.5000
3 Rh 0.5000 0.0000 0.0000
4 Rh 0.0000 0.5000 0.0000
5 Rh 0.0000 0.0000 0.5000

Computed properties:
- E (eV for the cell shown) = -25.11
- energy relative to the lowest polymorph listed for this composition (meV per atom) = 1367
- N(E_F) (states/eV/f.u.) = 6.74
- space-group type = Pm-3m

=====

# 6
Y2ZnInRu | PBE-GGA | relaxed

abc: 5.3221 4.6794 5.3221
angles: 90.00 90.00 90.00
Element x y z (fractional)
1 Ru 0.5000 0.5000 0.5000
2 Zn 0.0000 0.0000 0.0000
3 Y 0.5000 0.0000 0.0000
4 Y 0.0000 0.0000 0.5000
5 In 0.0000 0.5000 0.0000

Computed properties:
- E (eV for the cell shown) = -23.30
- N(E_F) (states/eV/f.u.) = 3.26
- space-group type = P4/mmm

=====

# 7
Ac4AgN2 | PBE-GGA | relaxed

abc: 8.4657 8.4657 8.4657
angles: 103.17 122.98 103.17
Element x y z (fractional)
1 Ac 0.1728 0.3478 0.9345
2 Ac 0.5772 0.2617 0.4250
3 Ac 0.5867 0.6522 0.8250
4 Ac 0.0655 0.2383 0.4133
5 Ac 0.1633 0.7383 0.3155
6 Ac 0.6845 0.8478 0.4228
7 Ac 0.5750 0.1522 0.8367
8 Ac 0.1750 0.7617 0.8272
9 N 0.4429 0.3179 0.6250
10 N 0.3750 0.8179 0.6929
11 N 0.3071 0.6821 0.1250
12 N 0.8750 0.1821 0.5571
13 Ag 0.0000 0.0000 0.0000
14 Ag 0.7500 0.5000 0.2500

Computed properties:
- E (eV for the cell shown) = -80.64
- N(E_F) (states/eV/f.u.) = 4.97
- space-group type = I-42d

=====

# 8
Li2CrS4 | PBE-GGA | relaxed

abc: 6.8244 6.8244 5.9207
angles: 64.60 64.60 28.95
Element x y z (fractional)
1 Li 0.2934 0.2934 0.2394
2 Li 0.7066 0.7066 0.7606
3 S 0.6350 0.6350 0.4339
4 S 0.9364 0.9364 0.9485
5 S 0.3650 0.3650 0.5661
6 S 0.0636 0.0636 0.0515
7 Cr 0.0000 0.0000 0.5000

Computed properties:
- E (eV for the cell shown) = -35.30
- N(E_F) (states/eV/f.u.) = 3.70
- space-group type = C2/m

=====

# 9
In2NiAg2 | PBE-GGA | relaxed

abc: 6.8297 6.8297 4.2915
angles: 90.00 90.00 90.00
Element x y z (fractional)
1 Ni 0.0000 0.0000 0.0000
2 Ni 0.5000 0.5000 0.0000
3 Ag 0.3559 0.8559 0.0000
4 Ag 0.1441 0.3559 0.0000
5 Ag 0.6441 0.1441 0.0000
6 Ag 0.8559 0.6441 0.0000
7 In 0.8288 0.3288 0.5000
8 In 0.1712 0.6712 0.5000
9 In 0.3288 0.1712 0.5000
10 In 0.6712 0.8288 0.5000

Computed properties:
- E (eV for the cell shown) = -31.41
- energy relative to the lowest polymorph listed for this composition (meV per atom) = 36
- N(E_F) (states/eV/f.u.) = 2.68
- space-group type = P4/mbm

=====

# 10
NaLi6Mg8 | PBE-GGA | relaxed

abc: 7.5741 7.5741 7.5741
angles: 67.35 67.35 67.35
Element x y z (fractional)
1 Mg 0.4800 0.7734 0.1057
2 Mg 0.6649 0.6649 0.6649
3 Mg 0.7734 0.1057 0.4800
4 Mg 0.1057 0.4800 0.7734
5 Mg 0.5200 0.2266 0.8943
6 Mg 0.2266 0.8943 0.5200
7 Mg 0.8943 0.5200 0.2266
8 Mg 0.3351 0.3351 0.3351
9 Na 0.0000 0.0000 0.0000
10 Li 0.9516 0.2877 0.6210
11 Li 0.0484 0.7123 0.3790
12 Li 0.3790 0.0484 0.7123
13 Li 0.2877 0.6210 0.9516
14 Li 0.7123 0.3790 0.0484
15 Li 0.6210 0.9516 0.2877

Computed properties:
- E (eV for the cell shown) = -23.95
- N(E_F) (states/eV/f.u.) = 5.97
- space-group type = R-3

=====

# 11
HoAs2Pd3 | PBE-GGA | relaxed

abc: 4.0597 8.6173 10.0374
angles: 107.21 90.00 103.62
Element x y z (fractional)
1 Pd 0.6168 0.2336 0.1912
2 Pd 0.7778 0.5555 0.6133
3 Pd 0.0414 0.0829 0.3291
4 Pd 0.2222 0.4445 0.3867
5 Pd 0.3188 0.6376 0.0361
6 Pd 0.3832 0.7664 0.8088
7 Pd 0.6812 0.3624 0.9639
8 Pd 0.9586 0.9171 0.6709
9 Pd 0.5000 0.0000 0.5000
10 Ho 0.1505 0.3011 0.6948
11 Ho 0.8495 0.6989 0.3052
12 Ho 0.0000 0.0000 0.0000
13 As 0.4584 0.9168 0.2116
14 As 0.5416 0.0832 0.7884
15 As 0.6365 0.2731 0.4539
16 As 0.1983 0.3966 0.1312
17 As 0.3635 0.7269 0.5461
18 As 0.8017 0.6034 0.8688

Computed properties:
- E (eV for the cell shown) = -102.22
- N(E_F) (states/eV/f.u.) = 2.71
- space-group type = C2/m

=====

# 12
K4P2Pt | PBE-GGA | relaxed

abc: 5.5815 5.5815 9.4684
angles: 72.86 72.86 60.00
Element x y z (fractional)
1 K 0.2090 0.2090 0.3730
2 K 0.3738 0.3738 0.8785
3 K 0.7910 0.7910 0.6270
4 K 0.6262 0.6262 0.1215
5 P 0.0844 0.0844 0.7468
6 P 0.9156 0.9156 0.2532
7 Pt 0.0000 0.0000 0.0000

Computed properties:
- E (eV for the cell shown) = -23.98
- energy relative to the lowest polymorph listed for this composition (meV per atom) = 0
- N(E_F) (states/eV/f.u.) = 5.47
- space-group type = R-3m